(1)
Compound: Sr3Li
Source: the Alexandria database
Functional: meta-GGA SCAN
Structure: single point on PBEsol structure

The structure in POSCAR format:
```
Sr3Li
1.0
4.0741 0.0000 0.0144
0.0000 5.8329 0.0000
-1.8043 0.0000 7.6704
Sr Li
3 1
Cartesian
1.2546 2.9164 1.7951
1.0152 2.9164 5.8898
-0.9021 0.0000 3.8352
0.0000 0.0000 0.0000
```

Results
Energy above the most stable polymorph in this dataset in eV per formula unit: 0.21
SG: No. 10
VASP energy in eV per atom: -17.22
Total magnetic moment in μB per atom: 0.00



(2)
Compound: Sc2Be
Source: the Alexandria database
Functional: meta-GGA SCAN
Structure: single point on PBEsol structure

The structure in POSCAR format:
```
Sc2Be
1.0
3.2165 0.0000 0.0000
0.0000 4.5967 0.0000
-1.6082 0.0000 7.3107
Sc Be
4 2
Cartesian
0.0000 1.1492 6.1706
1.6082 3.4475 1.1400
1.6082 1.1492 3.1953
0.0000 3.4475 4.1153
1.6082 3.4475 6.2928
0.0000 1.1492 1.0179
```

Results
Energy above the most stable polymorph in this dataset in eV per formula unit: 0.15
SG: No. 63
VASP energy in eV per atom: -10.94
Total magnetic moment in μB per atom: 0.01



(3)
Compound: Ta2CoTc
Source: the Alexandria database
Functional: meta-GGA SCAN
Structure: single point on PBEsol structure

The structure in POSCAR format:
```
Ta2CoTc
1.0
3.1320 0.0000 0.0000
0.0000 3.1320 0.0000
0.0000 0.0000 6.0184
Tc Ta Co
1 2 1
Cartesian
1.5660 1.5660 0.0000
0.0000 0.0000 4.4702
0.0000 0.0000 1.5482
1.5660 1.5660 3.0092
```

Results
Energy above the most stable polymorph in this dataset in eV per formula unit: 0.00
SG: No. 123
VASP energy in eV per atom: -46.77
Total magnetic moment in μB per atom: 0.45



(4)
Compound: BaCa2Ag2
Source: the Alexandria database
Functional: meta-GGA SCAN
Structure: single point on PBEsol structure

The structure in POSCAR format:
```
BaCa2Ag2
1.0
4.3080 0.0000 0.0000
0.0000 8.3811 0.0000
0.0000 0.0000 8.3811
Ag Ca Ba
4 4 2
Cartesian
0.0000 1.0049 3.1857
0.0000 7.3763 5.1954
0.0000 5.1954 1.0049
0.0000 3.1857 7.3763
2.1540 2.8600 1.3306
2.1540 5.5211 7.0506
2.1540 1.3306 5.5211
2.1540 7.0506 2.8600
0.0000 0.0000 0.0000
0.0000 4.1906 4.1906
```

Results
Energy above the most stable polymorph in this dataset in eV per formula unit: 0.05
SG: No. 127
VASP energy in eV per atom: -24.53
Total magnetic moment in μB per atom: 0.00



(5)
Compound: CdH6C2O6
Source: the Alexandria database
Functional: meta-GGA SCAN
Structure: single point on PBEsol structure

The structure in POSCAR format:
```
CdH6C2O6
1.0
-1.7781 -0.7090 -6.9862
0.1739 -8.9364 0.8627
-9.4051 1.2347 2.2684
O H C Cd
24 24 8 4
Cartesian
-5.3298 -1.6765 1.4945
-6.6896 -4.6158 1.0845
-5.0748 -1.6298 -1.1475
-1.5761 -7.5355 -5.1940
-3.6901 -1.3206 -5.8560
-5.2473 -0.7965 -4.3448
-5.9345 -6.7809 -2.7076
-3.2304 -7.9521 -1.5447
-5.6795 -6.7342 -5.3497
-7.3192 -7.0900 2.0009
-7.7789 -0.4586 -2.3105
-8.7588 -2.9878 1.0008
-1.5011 -2.6423 -3.0730
-9.5082 -5.7684 -0.7821
-5.7620 -7.6142 0.4897
-9.8892 -0.1550 -2.9723
-4.2201 -3.6705 -0.7771
-6.7893 -4.7402 -3.0780
-4.3197 -3.7949 -4.9396
-2.3616 -5.3825 -1.5215
-9.4332 -0.8752 1.3389
-1.1201 -8.2557 -0.8829
-8.6477 -3.0282 -2.3336
-2.2506 -5.4229 -4.8559
-9.8964 -6.2174 0.0255
-7.8997 -3.6670 -2.5534
-2.7512 -6.2932 -1.6331
-9.8098 -2.5351 -4.4834
-3.5271 -4.4159 -4.9841
-0.9652 -2.3249 -2.2797
-7.4822 -3.9948 1.1289
-3.1096 -4.7437 -1.3017
-1.1129 -2.1933 -3.8807
-3.4391 -8.5634 -3.8488
-6.4057 -1.8113 -5.0654
-6.9356 -5.4692 1.5369
-8.1606 -7.9536 -2.7888
-4.0737 -2.9415 -5.3921
-8.2581 -2.1175 -2.2220
-1.1995 -5.8756 0.6283
-2.8488 -0.4571 -1.0664
-7.5702 0.1528 -0.0063
-4.3476 -2.8495 -2.6330
-5.7600 -6.8699 -4.3535
-6.6617 -5.5611 -1.2222
-4.6037 -6.5993 1.2103
-10.0442 -6.0858 -1.5754
-5.2493 -1.5407 0.4984
-8.7263 -1.8938 1.6348
-4.5443 -2.7187 -1.5445
-2.3518 -8.5603 -0.8621
-4.1689 -0.5531 -4.9676
-6.8404 -7.8576 1.1125
-6.4651 -5.6920 -2.3106
-2.2830 -6.5169 -5.4899
-8.6576 0.1496 -2.9930
-0.8021 -4.8227 -3.0618
-5.5916 0.2628 -2.3589
-4.6156 -3.8508 1.5656
0.0000 0.0000 0.0000
```

Results
SG: No. 14
VASP energy in eV per atom: -8.30
Total magnetic moment in μB per atom: 0.00



(6)
Compound: V3W2O12
Source: the Alexandria database
Functional: meta-GGA SCAN
Structure: single point on PBEsol structure

The structure in POSCAR format:
```
V3W2O12
1.0
9.1428 0.0000 -0.0086
0.0000 9.2311 0.0000
0.0106 0.0000 12.8344
O V W
48 12 8
Cartesian
2.9057 0.5334 6.0885
6.2772 9.1623 9.5360
2.8763 0.0689 3.2898
1.6829 8.6967 12.5064
2.8816 4.5459 9.5396
1.7005 4.6844 3.1231
1.3753 7.3264 2.0363
7.7781 1.9048 10.7894
5.8480 5.8539 0.9051
3.2014 2.7108 4.3765
7.4824 4.0821 12.5014
8.4012 6.0054 7.4699
3.3055 3.3773 11.9207
8.3972 7.8399 5.3488
1.2819 7.9928 7.3267
5.2723 3.8741 8.2059
0.7523 3.2257 5.3559
7.7731 2.7117 2.0311
6.2718 4.6853 3.2861
7.4530 4.5467 9.7026
8.4579 8.4897 11.0328
1.3804 6.5194 10.7947
3.8839 8.4881 8.2083
3.2070 1.9039 8.4527
7.8723 3.3761 7.3215
5.2695 0.7431 4.6174
0.7562 1.3913 7.4770
7.4477 0.0697 3.1181
5.9520 6.5203 8.4492
5.8579 7.9917 11.9172
1.2811 5.8550 5.5043
0.6955 0.7414 1.7930
1.7057 9.1614 9.7077
5.9464 7.3272 4.3731
3.8812 5.3570 4.6199
5.3223 3.2243 1.0555
3.8244 7.8413 1.0570
5.3290 1.3898 11.7688
1.6711 5.1490 0.3244
3.8311 6.0068 11.7703
0.7034 3.8725 11.0390
3.2956 1.2394 0.9086
6.2490 5.1500 6.0848
7.4706 0.5345 0.3194
2.9045 4.0811 6.7410
6.2478 8.6977 6.7373
8.4500 5.3586 1.7868
7.8716 1.2383 5.4991
8.1236 1.0284 1.8239
1.0299 8.2028 11.0019
3.5543 1.0280 4.5825
3.5575 3.5872 8.2454
5.5960 5.6439 4.5804
5.5991 8.2032 8.2433
4.8396 6.9234 12.8296
4.3138 2.3077 -0.0038
8.1310 3.5876 10.9954
0.2629 6.9233 6.4167
8.8905 2.3079 6.4091
1.0224 5.6435 1.8304
6.8539 4.3419 1.5026
6.8612 0.2739 11.3191
6.8657 8.9575 4.9016
2.2922 8.9573 1.5067
2.2996 4.8892 11.3232
2.2878 0.2737 7.9242
6.8689 4.8894 7.9196
2.2845 4.3417 4.9062
```

Results
SG: No. 60
VASP energy in eV per atom: -18.05
Total magnetic moment in μB per atom: 0.00



(7)
Compound: K2MgTcPt
Source: the Alexandria database
Functional: meta-GGA SCAN
Structure: single point on PBEsol structure

The structure in POSCAR format:
```
K2MgTcPt
1.0
-4.3354 0.4279 1.9219
-2.3536 -3.2335 -4.5892
0.8928 -5.1284 3.1555
Pt K Tc Mg
1 2 1 1
Cartesian
0.0000 0.0000 0.0000
-1.1768 -1.6167 -2.2946
0.4464 -2.5642 1.5778
-2.1677 0.2139 0.9610
-2.8981 -3.9670 0.2441
```

Results
SG: No. 123
VASP energy in eV per atom: -24.61
Total magnetic moment in μB per atom: 0.60



(8)
Compound: Li3Ag
Source: the Alexandria database
Functional: meta-GGA SCAN
Structure: single point on PBEsol structure

The structure in POSCAR format:
```
Li3Ag
1.0
4.1773 0.0000 0.0000
-2.0887 4.2372 0.0015
0.0000 2.0579 3.6352
Li Ag
3 1
Cartesian
0.0000 2.6331 0.9095
2.0887 1.0289 1.8176
2.0887 3.6620 2.7272
0.0000 0.0000 0.0000
```

Results
Energy above the most stable polymorph in this dataset in eV per formula unit: 0.01
SG: No. 139
VASP energy in eV per atom: -9.80
Total magnetic moment in μB per atom: 0.00